First-principles (PBE-GGA) data for a relaxed ZrTi3Rh crystal, as listed in Alexandria.

```
data_ZrTi3Rh
_chemical_formula_sum 'Zr1 Ti3 Rh1'
_space_group_name_H-M_alt 'P m -3 m'
_space_group_IT_number 221
_space_group_name_Hall '-P 4 2 3'
_cell_length_a 4.708
_cell_length_b 4.708
_cell_length_c 4.708
_cell_angle_alpha 90.00
_cell_angle_beta 90.00
_cell_angle_gamma 90.00
loop_
_atom_site_label
_atom_site_type_symbol
_atom_site_fract_x
_atom_site_fract_y
_atom_site_fract_z
Zr1 Zr 0.000 0.000 0.000
Ti1 Ti 0.000 0.500 0.500
Rh1 Rh 0.500 0.500 0.500
```

electronic total energy: -7.64 eV/atom
energy of formation from the pure elements: 0.28 eV/atom